# 1
Nd3GaGe | PBE | relaxed

a = 15.6965 Å, b = 4.1880 Å, c = 8.5487 Å
α = 90.00°, β = 93.39°, γ = 90.00°
Space group C2/m (No. 12)
One atom of each set of equivalent atoms:
Nd 0.0471 0.0000 0.1780 [4 per cell]
Nd 0.0952 0.5000 0.5756 [4 per cell]
Nd 0.2367 0.0000 0.8216 [4 per cell]
Ga 0.2089 0.0000 0.4294 [4 per cell]
Ge 0.1074 0.5000 0.9337 [4 per cell]

Calculated values
The formation energy from the elements comes out at -2.7 eV per formula unit. The density of states at the Fermi level comes out at 0.897 states/eV per atom.

=====

# 2
LaAgBi2Au | PBE | relaxed

a = 5.5514 Å, b = 5.5514 Å, c = 5.6871 Å
α = 90.00°, β = 90.00°, γ = 90.00°
Space group P4/mmm (No. 123)
One atom of each set of equivalent atoms:
La 0.0000 0.0000 0.0000 [1 per cell]
Ag 0.5000 0.5000 0.0000 [1 per cell]
Bi 0.0000 0.5000 0.5000 [2 per cell]
Au 0.0000 0.0000 0.5000 [1 per cell]

Calculated values
The formation energy from the elements comes out at 0.9 eV per formula unit. The density of states at the Fermi level comes out at 0.613 states/eV per atom.

=====

# 3
ZnTcSn3 | PBE | relaxed

a = 5.1869 Å, b = 5.1869 Å, c = 5.1869 Å
α = 90.00°, β = 90.00°, γ = 90.00°
Space group Pm-3m (No. 221)
One atom of each set of equivalent atoms:
Zn 0.0000 0.0000 0.0000 [1 per cell]
Tc 0.5000 0.5000 0.5000 [1 per cell]
Sn 0.0000 0.5000 0.5000 [3 per cell]

Calculated values
Its energy above the most stable polymorph in this dataset is 105 meV/atom. The formation energy from the elements comes out at 1.4 eV per formula unit. The density of states at the Fermi level comes out at 0.975 states/eV per atom.

=====

# 4
LaNpCuSe4 | PBE | relaxed

a = 7.0402 Å, b = 5.9735 Å, c = 8.3465 Å
α = 90.00°, β = 107.11°, γ = 90.00°
Space group P2_1/m (No. 11)
One atom of each set of equivalent atoms:
La 0.2409 0.2500 0.4334 [2 per cell]
Np 0.2395 0.2500 0.9386 [2 per cell]
Cu 0.2469 0.7500 0.1865 [2 per cell]
Se 0.0696 0.7500 0.3887 [2 per cell]
Se 0.0736 0.7500 0.8949 [2 per cell]
Se 0.4818 0.5108 0.7564 [4 per cell]

Calculated values
For the raw total energy, the calculation gives -88.240 eV for the cell shown. The density of states at the Fermi level comes out at 1.455 states/eV per atom.

=====

# 5
BaMgAsH | PBE | relaxed

a = 4.5373 Å, b = 4.5373 Å, c = 5.1049 Å
α = 90.00°, β = 90.00°, γ = 120.00°
Space group P3m1 (No. 156)
One atom of each set of equivalent atoms:
Ba 0.0000 0.0000 0.0000 [1 per cell]
Mg 0.6667 0.3333 0.5354 [1 per cell]
As 0.3333 0.6667 0.4567 [1 per cell]
H 0.6667 0.3333 0.9168 [1 per cell]

Calculated values
For the raw total energy, the calculation gives -14.799 eV for the cell shown. The density of states at the Fermi level comes out at 0.000 states/eV per atom.

=====

# 6
EuTlAgSb | PBE | relaxed

a = 7.5489 Å, b = 7.5489 Å, c = 7.5489 Å
α = 90.00°, β = 90.00°, γ = 90.00°
Space group F-43m (No. 216)
One atom of each set of equivalent atoms:
Eu 0.0000 0.0000 0.0000 [4 per cell]
Tl 0.2500 0.2500 0.2500 [4 per cell]
Ag 0.0000 0.0000 0.5000 [4 per cell]
Sb 0.2500 0.2500 0.7500 [4 per cell]

Calculated values
For the raw total energy, the calculation gives -83.192 eV for the cell shown. The density of states at the Fermi level comes out at 0.980 states/eV per atom.

=====

# 7
RbScMnAl2 | PBE | relaxed

a = 4.7637 Å, b = 4.7637 Å, c = 5.1664 Å
α = 90.00°, β = 90.00°, γ = 90.00°
Space group P4/mmm (No. 123)
One atom of each set of equivalent atoms:
Rb 0.0000 0.0000 0.0000 [1 per cell]
Sc 0.5000 0.5000 0.0000 [1 per cell]
Mn 0.0000 0.0000 0.5000 [1 per cell]
Al 0.0000 0.5000 0.5000 [2 per cell]

Calculated values
The formation energy from the elements comes out at 4.5 eV per formula unit. The density of states at the Fermi level comes out at 1.065 states/eV per atom.

=====

# 8
BaAg2C | PBE | relaxed

a = 5.5944 Å, b = 5.5944 Å, c = 12.8930 Å
α = 90.00°, β = 90.00°, γ = 90.00°
Space group I4_1/amd (No. 141, origin choice 2)
One atom of each set of equivalent atoms:
Ba 0.0000 0.2500 0.3750 [4 per cell]
Ag 0.0000 0.0000 0.0000 [8 per cell]
C 0.0000 0.2500 0.8750 [4 per cell]

Calculated values
The formation energy from the elements comes out at 2.4 eV per formula unit. The density of states at the Fermi level comes out at 0.029 states/eV per atom.